(1)
{
  "formula": "Y6P3S2Cl",
  "functional": "GGA-PBE",
  "state": "optimized geometry",
  "lattice": [[3.9751, 0.0000, 0.0000], [0.0000, 7.9937, 0.2649], [-1.9875, -2.3237, 8.3951]],
  "species": ["Y", "P", "P", "Y", "Y", "S", "Cl", "Y", "S", "Y", "P", "Y"],
  "fractional_positions": [[0.3347, 0.4108, 0.6694], [0.8369, 0.1658, 0.6738], [0.1631, 0.8342, 0.3262], [0.6766, 0.0828, 0.3533], [0.3234, 0.9172, 0.6467], [0.1654, 0.3300, 0.3307], [0.5000, 0.0000, 0.0000], [0.0011, 0.7270, 0.0022], [0.8346, 0.6700, 0.6693], [0.9989, 0.2730, 0.9978], [0.5000, 0.5000, 0.0000], [0.6653, 0.5892, 0.3306]],
  "total_magnetization_mub_per_fu": 0.000,
  "dos_ef_per_ev_atom": 0.371,
  "dft_energy_ev_per_atom": -7.204,
  "raw_formation_energy_kj_per_mol_atoms": -171.5
}



(2)
{
  "formula": "Y6P2S3Cl",
  "functional": "GGA-PBE",
  "state": "optimized geometry",
  "lattice": [[3.9625, 0.0000, 0.0000], [0.0000, 7.9488, 0.3168], [-1.9812, -2.2581, 8.3373]],
  "species": ["Y", "S", "Y", "S", "S", "Y", "Y", "P", "Cl", "Y", "Y", "P"],
  "fractional_positions": [[0.6780, 0.0965, 0.3560], [0.8395, 0.1649, 0.6790], [0.3220, 0.9035, 0.6440], [0.1605, 0.8351, 0.3210], [0.5000, 0.5000, 0.0000], [0.9964, 0.7229, 0.9929], [0.3311, 0.4206, 0.6623], [0.8345, 0.6698, 0.6689], [0.5000, 0.0000, 0.0000], [0.0036, 0.2771, 0.0071], [0.6689, 0.5794, 0.3377], [0.1655, 0.3302, 0.3311]],
  "total_magnetization_mub_per_fu": 0.000,
  "dos_ef_per_ev_atom": 0.394,
  "dft_energy_ev_per_atom": -7.123,
  "raw_formation_energy_kj_per_mol_atoms": -174.1
}



(3)
{
  "formula": "ZnPSCl2",
  "functional": "GGA-PBE",
  "state": "optimized geometry",
  "lattice": [[-0.7176, -0.4959, -4.7475], [-3.9731, -2.5989, 0.8720], [-2.6112, 3.9846, -0.0215]],
  "species": ["Zn", "S", "Cl", "P", "Cl"],
  "fractional_positions": [[0.5000, 0.5000, 0.5000], [0.0000, 0.0000, 0.0000], [0.0000, 0.5000, 0.0000], [0.0000, 0.0000, 0.5000], [0.5000, 0.0000, 0.0000]],
  "total_magnetization_mub_per_fu": 0.000,
  "dos_ef_per_ev_atom": 0.804,
  "dft_energy_ev_per_atom": -2.349,
  "raw_formation_energy_kj_per_mol_atoms": 53.3
}



(4)
{
  "formula": "ZnPSCl2",
  "functional": "GGA-PBE",
  "state": "optimized geometry",
  "lattice": [[4.7513, 0.0000, 0.0000], [0.0000, 4.7513, 0.0000], [0.0000, 0.0000, 4.7176]],
  "species": ["S", "P", "Cl", "Cl", "Zn"],
  "fractional_positions": [[0.0000, 0.0000, 0.5000], [0.0000, 0.0000, 0.0000], [0.0000, 0.5000, 0.0000], [0.5000, 0.0000, 0.0000], [0.5000, 0.5000, 0.5000]],
  "total_magnetization_mub_per_fu": 0.000,
  "dos_ef_per_ev_atom": 0.407,
  "dft_energy_ev_per_atom": -2.773,
  "raw_formation_energy_kj_per_mol_atoms": 12.3
}